Compound: InPCl2
Source: the Alexandria database
Functional: SCAN
Structure: PBEsol geometry

The total energy comes out at -14.646 eV per atom. The density is 4.4 g cm⁻³.

It has space group P4/mmm (No. 123), with a = 5.084 Å, b = 5.084 Å, c = 3.200 Å, α = 90.00°, β = 90.00° and γ = 90.00°. The distinct sites, in fractional coordinates, are In at (0.000, 0.000, 0.000), P at (0.500, 0.500, 0.000) and Cl at (0.000, 0.500, 0.500).

***

Compound: In2PCl
Source: the Alexandria database
Functional: SCAN
Structure: PBEsol geometry

The total energy comes out at -21.509 eV per atom. The density is 4.6 g cm⁻³.

It has space group P4mm (No. 99), with a = 3.666 Å, b = 3.666 Å, c = 7.927 Å, α = 90.00°, β = 90.00° and γ = 90.00°. The distinct sites, in fractional coordinates, are In at (0.000, 0.000, 0.000), In at (0.500, 0.500, 0.464), P at (0.000, 0.000, 0.393) and Cl at (0.500, 0.500, 0.797).

***

Number 1: energy relative to the lowest polymorph listed for this composition 0.086 eV per atom, DOS at the Fermi energy 2.32 states/eV/cell, M_tot 0.0 Bohr magnetons per cell. Number 2: energy relative to the lowest polymorph listed for this composition 0.000 eV per atom, DOS at the Fermi energy 1.29 states/eV/cell, M_tot 0.0 Bohr magnetons per cell.